(1)
## CrFe3 (PBE)

Data for a geometry-optimized CrFe3 structure.

The value obtained for the formation energy is 0.102 eV per atom. For the total moment, the calculation gives 0.11 μB per atom. As for the symmetry: Cmmm (65).

abc: 4.3554 4.3554 2.4619
angles: 90.00 90.00 110.81
Closest atoms and distances in Å follow each position.
Positions (direct):
Fe1 0.5000 0.0000 0.5000  8 Fe 2.46-2.50, 4 Cr 2.50
Fe2 0.5000 0.5000 0.0000  10 Fe 2.46-2.50, 2 Cr 2.47
Fe3 0.0000 0.5000 0.5000  8 Fe 2.46-2.50, 4 Cr 2.50
Cr1 0.0000 0.0000 0.0000  2 Cr 2.46, 10 Fe 2.47-2.50

***

(2)
## AcAl2GePt4 (PBE)

Data for a geometry-optimized AcAl2GePt4 structure.

The value obtained for the formation energy is -0.854 eV per atom. For the total moment, the calculation gives 0.00 μB per atom. As for the symmetry: R-3m (166).

abc: 4.3439 4.3439 9.5922
angles: 76.91 76.91 60.00
Closest atoms and distances in Å follow each position.
Positions (direct):
Pt1 0.5924 0.5924 0.2228  1 Ge 2.57, 3 Al 2.57
Al1 0.2384 0.2384 0.2849  7 Pt 2.57-2.83
Ge1 0.5000 0.5000 0.5000  8 Pt 2.57-2.64
Al2 0.7616 0.7616 0.7151  7 Pt 2.57-2.83
Pt2 0.1364 0.1364 0.5907  3 Ge 2.64, 4 Al 2.76-2.83
Ac1 0.0000 0.0000 0.0000  6 Pt 3.25
Pt3 0.4076 0.4076 0.7772  1 Ge 2.57, 3 Al 2.57
Pt4 0.8636 0.8636 0.4093  3 Ge 2.64, 4 Al 2.76-2.83

***

(3)
## Si2IrSe (PBE)

Data for a geometry-optimized Si2IrSe structure.

The energy comes out at -22.1 eV for the cell shown. For the total moment, the calculation gives 0.00 μB per atom. As for the symmetry: Immm (71).

abc: 5.9279 5.9279 5.9279
angles: 152.44 135.05 53.54
Closest atoms and distances in Å follow each position.
Positions (direct):
Si1 0.5496 0.5496 0.0000  2 Ir 2.55, 2 Si 2.82
Se1 0.2500 0.7500 0.5000  4 Ir 2.67, 2 Se 2.82
Ir1 0.7500 0.2500 0.5000  4 Si 2.55, 4 Se 2.67, 2 Ir 2.82
Si2 0.9504 0.9504 0.0000  2 Ir 2.55, 2 Si 2.82

***

(4)
## Er2Ni3P2 (PBE)

Data for a geometry-optimized Er2Ni3P2 structure.

The value obtained for the formation energy is -0.918 eV per atom. For the total moment, the calculation gives 0.00 μB per atom. As for the symmetry: C2/m (12).

abc: 3.6549 5.2520 6.6170
angles: 115.16 90.00 110.36
Closest atoms and distances in Å follow each position.
Positions (direct):
P1 0.8484 0.6968 0.7814  5 Ni 2.32-2.39
Er1 0.8683 0.7365 0.2320  4 P 2.78-2.90, 7 Ni 2.91-3.10
P2 0.1516 0.3032 0.2186  5 Ni 2.32-2.39
Ni1 0.6367 0.2734 0.4291  3 P 2.32-2.34, 1 Ni 2.53
Ni2 0.3633 0.7266 0.5709  3 P 2.32-2.34, 1 Ni 2.53
Ni3 0.5000 0.0000 0.0000  4 P 2.39, 2 Ni 2.53
Er2 0.1317 0.2635 0.7680  4 P 2.78-2.90, 7 Ni 2.91-3.10

***

(5)
## Rb4HAu2 (PBE)

Data for a geometry-optimized Rb4HAu2 structure.

The calculation puts the energy above the most stable polymorph in this dataset at 15.1 meV per atom. For the total moment, the calculation gives 0.00 μB per atom. As for the symmetry: I4/mmm (139).

abc: 5.4728 5.4728 9.9756
angles: 105.92 105.92 90.00
Closest atoms and distances in Å follow each position.
Positions (direct):
Rb1 0.1757 0.1757 0.3515  1 H 3.23, 1 Au 3.55
H1 0.0000 0.0000 0.0000  4 Rb 2.74
Rb2 0.5000 0.0000 0.0000  2 H 2.74
Rb3 0.8243 0.8243 0.6485  1 H 3.23, 1 Au 3.55
Rb4 0.0000 0.5000 0.0000  2 H 2.74
Au1 0.3688 0.3688 0.7376  9 Rb 3.55-3.96
Au2 0.6312 0.6312 0.2624  9 Rb 3.55-3.96

***

(6)
## Hf2Zn2As (PBE)

Data for a geometry-optimized Hf2Zn2As structure.

The calculation puts the energy above the most stable polymorph in this dataset at 89.7 meV per atom. The value obtained for the formation energy is -0.180 eV per atom. For the total moment, the calculation gives 0.00 μB per atom. As for the symmetry: I4/mmm (139).

abc: 3.4743 3.4743 8.1618
angles: 77.71 77.71 90.00
Closest atoms and distances in Å follow each position.
Positions (direct):
As1 0.0000 0.0000 0.0000  8 Hf 2.87
Hf1 0.5959 0.5959 0.8082  4 As 2.87, 4 Zn 2.96, 1 Hf 2.99
Hf2 0.4041 0.4041 0.1918  4 As 2.87, 4 Zn 2.96, 1 Hf 2.99
Zn1 0.7500 0.2500 0.5000  4 Zn 2.46
Zn2 0.2500 0.7500 0.5000  4 Zn 2.46

***

(7)
## LaSiHg2H (PBE)

Data for a geometry-optimized LaSiHg2H structure.

The energy comes out at -14.0 eV for the cell shown. For the total moment, the calculation gives 0.00 μB per atom. As for the symmetry: P4/mmm (123).

abc: 5.5097 3.5839 5.5097
angles: 90.00 90.00 90.00
Closest atoms and distances in Å follow each position.
Positions (direct):
Si1 0.0000 0.0000 0.0000  2 H 1.79
H1 0.0000 0.5000 0.0000  2 Si 1.79
La1 0.5000 0.5000 0.5000  8 Hg 3.29, 2 La 3.58
Hg1 0.5000 0.0000 0.0000  2 Si 2.75
Hg2 0.0000 0.0000 0.5000  2 Si 2.75

***

(8)
## Zr2TlTe (PBE)

Data for a geometry-optimized Zr2TlTe structure.

The calculation puts the energy above the most stable polymorph in this dataset at 103.2 meV per atom. For the total moment, the calculation gives 0.00 μB per atom. As for the symmetry: P2/m (10).

abc: 4.1519 3.4583 6.8437
angles: 72.89 90.00 90.00
Closest atoms and distances in Å follow each position.
Positions (direct):
Te1 0.5000 0.2500 0.2500  4 Zr 2.92
Zr1 0.0000 0.0222 0.0050  2 Te 2.92, 2 Tl 3.03
Zr2 0.0000 0.4778 0.4950  2 Te 2.92, 2 Tl 3.03
Tl1 0.5000 0.7500 0.7500  8 Zr 3.03-3.33, 2 Te 3.35